# 1
Compound: Na2IBr
Source: Alexandria via LeMat-Bulk
Functional: PBE
Structure: relaxed

Values from the calculation:
Raw formation energy   -1.25 eV per atom
DOS at the Fermi energy   0.0 states/eV per cell
Space-group type   Fm-3m, No. 225
Offset from the most stable computed form   154 meV per atom

Unit cell a=5.5178 b=5.5178 c=5.5178 alpha=60.00 beta=60.00 gamma=60.00
With the nearest neighbours (Å) after each atom.
Fractional positions:
Na (0.7500, 0.7500, 0.7500)  4 I 3.38, 4 Br 3.38
Na (0.2500, 0.2500, 0.2500)  4 I 3.38, 4 Br 3.38
Br (0.0000, 0.0000, 0.0000)  8 Na 3.38
I (0.5000, 0.5000, 0.5000)  8 Na 3.38

=====

# 2
Compound: Na5IBr4
Source: Alexandria via LeMat-Bulk
Functional: PBE
Structure: relaxed

Values from the calculation:
Raw formation energy   -1.49 eV per atom
DOS at the Fermi energy   0.0 states/eV per cell
Space-group type   C2/m, No. 12
Offset from the most stable computed form   0 meV per atom

Unit cell a=4.3398 b=7.5190 c=9.7265 alpha=75.05 beta=77.11 gamma=73.23
With the nearest neighbours (Å) after each atom.
Fractional positions:
Na (0.7954, 0.0987, 0.3104)  5 Br 2.97-3.07, 1 I 3.17
Na (0.3935, 0.3216, 0.8915)  4 Br 2.98-3.12, 2 I 3.18
Na (0.2046, 0.9013, 0.6896)  5 Br 2.97-3.07, 1 I 3.17
Na (0.6065, 0.6784, 0.1085)  4 Br 2.98-3.12, 2 I 3.18
Na (0.0000, 0.5000, 0.5000)  6 Br 3.05
Br (0.4004, 0.7963, 0.4028)  6 Na 2.97-3.08
Br (0.1998, 0.3959, 0.2045)  6 Na 2.98-3.12
Br (0.8002, 0.6041, 0.7955)  6 Na 2.98-3.12
Br (0.5996, 0.2037, 0.5972)  6 Na 2.97-3.08
I (0.0000, 0.0000, 0.0000)  6 Na 3.17-3.18

=====

# 3
Compound: Na3IBr
Source: Alexandria via LeMat-Bulk
Functional: PBE
Structure: relaxed

Values from the calculation:
Raw formation energy   -0.87 eV per atom
DOS at the Fermi energy   2.1 states/eV per cell
Space-group type   Pm-3m, No. 221
Offset from the most stable computed form   0 meV per atom

Unit cell a=5.7678 b=5.7678 c=5.7678 alpha=90.00 beta=90.00 gamma=90.00
With the nearest neighbours (Å) after each atom.
Fractional positions:
I (0.5000, 0.5000, 0.5000)  12 Na 4.08
Na (0.0000, 0.5000, 0.0000)  2 Br 2.88
Na (0.5000, 0.0000, 0.0000)  2 Br 2.88
Na (0.0000, 0.0000, 0.5000)  2 Br 2.88
Br (0.0000, 0.0000, 0.0000)  6 Na 2.88

=====

# 4
Compound: NaI3Br
Source: Alexandria via LeMat-Bulk
Functional: PBE
Structure: relaxed

Values from the calculation:
Raw formation energy   0.05 eV per atom
DOS at the Fermi energy   6.1 states/eV per cell
Space-group type   Pm-3m, No. 221
Offset from the most stable computed form   243 meV per atom

Unit cell a=6.0183 b=6.0183 c=6.0183 alpha=90.00 beta=90.00 gamma=90.00
With the nearest neighbours (Å) after each atom.
Fractional positions:
I (0.0000, 0.0000, 0.5000)  2 Na 3.01
I (0.0000, 0.5000, 0.0000)  2 Na 3.01
I (0.5000, 0.0000, 0.0000)  2 Na 3.01
Na (0.0000, 0.0000, 0.0000)  6 I 3.01
Br (0.5000, 0.5000, 0.5000)  12 I 4.26